[1]
Ca6PtPb5 | PBE | relaxed

a = 5.266 Å, b = 8.344 Å, c = 9.279 Å
α = 63.29°, β = 73.52°, γ = 90.00°
Sites, in units of the cell vectors:
Pt  0.000  0.000  0.000
Ca  0.844  0.072  0.311
Ca  0.844  0.617  0.311
Ca  0.500  0.789  0.000
Ca  0.156  0.928  0.689
Ca  0.500  0.211  0.000
Ca  0.156  0.383  0.689
Pb  0.000  0.500  0.000
Pb  0.661  0.660  0.680
Pb  0.339  0.340  0.320
Pb  0.315  0.815  0.370
Pb  0.685  0.185  0.630

Properties
Space group = Immm, No. 71
Formation energy from the elements = -571 meV/atom



[2]
CaPt2Pb | PBE | relaxed

a = 6.066 Å, b = 6.066 Å, c = 8.142 Å
α = 68.13°, β = 68.13°, γ = 90.00°
Sites, in units of the cell vectors:
Pb  0.000  0.000  0.000
Pb  0.750  0.250  0.500
Pt  0.104  0.625  0.250
Pt  0.375  0.354  0.750
Pt  0.646  0.125  0.250
Pt  0.875  0.896  0.750
Ca  0.500  0.500  0.000
Ca  0.250  0.750  0.500

Properties
Space group = I-42d, No. 122
Formation energy from the elements = -53 meV/atom



[3]
CaPt10Pb | PBE | relaxed

a = 4.432 Å, b = 5.428 Å, c = 9.334 Å
α = 90.00°, β = 90.00°, γ = 90.00°
Sites, in units of the cell vectors:
Pt  0.000  0.000  0.668
Pt  0.500  0.748  0.747
Pt  0.000  0.500  0.166
Pt  0.500  0.252  0.747
Pt  0.500  0.748  0.253
Pt  0.500  0.500  0.000
Pt  0.000  0.500  0.834
Pt  0.500  0.252  0.253
Pt  0.500  0.000  0.500
Pt  0.000  0.000  0.332
Pb  0.000  0.000  0.000
Ca  0.000  0.500  0.500

Properties
Space group = Pmmm, No. 47
Formation energy from the elements = -306 meV/atom